! CrCuBi2F (PBE+U, relaxed); values from VASP
! - SG = P4/mmm
! - M_tot (Bohr magnetons per cell) = 4.52
! - final energy (eV per atom) = -4.3918
! - density of states at the Fermi level (states/eV per cell) = 2.829
&SYSTEM
  ibrav = 0, nat = 5, ntyp = 4
/
ATOMIC_SPECIES
Cr 52.00 Cr.upf
Cu 63.55 Cu.upf
Bi 208.98 Bi.upf
F 19.00 F.upf
ATOMIC_POSITIONS crystal
Cr 0.000 0.000 0.000
Cu 0.500 0.500 0.500
Bi 0.000 0.500 0.500
Bi 0.500 0.000 0.500
F 0.500 0.500 0.000
CELL_PARAMETERS angstrom
5.514 0.000 0.000
0.000 5.514 0.000
0.000 0.000 3.743